Entry 1:
Computed, not measured: crystalline MgTl2P at its relaxed geometry at the PBE level of DFT.

Lattice parameters (Å, degrees): 6.8369 6.8369 6.8369 145.11 142.39 52.24
Closest atoms and distances in Å follow each position.
Fractional positions:
1 Mg 0.0000 0.0000 0.0000  2 P 2.50
2 Tl 0.2859 0.7859 0.5000  4 P 3.24, 2 Mg 3.43, 2 Tl 3.52
3 Tl 0.5623 0.5623 0.0000  4 Mg 3.11, 2 P 3.11
4 P 0.8836 0.3836 0.5000  2 Mg 2.50

Calculated values
energy of formation from the pure elements	0.03	eV/atom
SG	Imm2
polymorph energy (0 for the lowest one)	122	meV per atom

***

Entry 2:
Computed, not measured: crystalline LiMnIn2Se4 at its relaxed geometry at the PBE level of DFT.

Lattice parameters (Å, degrees): 7.3238 7.3238 7.3238 130.14 130.14 73.18
Closest atoms and distances in Å follow each position.
Fractional positions:
1 Li 0.0000 0.0000 0.0000  4 Se 2.60
2 Mn 0.5000 0.5000 0.0000  4 Se 2.52
3 In 0.2500 0.7500 0.5000  4 Se 2.71
4 In 0.7500 0.2500 0.5000  4 Se 2.71
5 Se 0.1419 0.6309 0.0000  1 Mn 2.52, 1 Li 2.60, 2 In 2.71
6 Se 0.3691 0.3691 0.5110  1 Mn 2.52, 1 Li 2.60, 2 In 2.71
7 Se 0.6309 0.1419 0.0000  1 Mn 2.52, 1 Li 2.60, 2 In 2.71
8 Se 0.8581 0.8581 0.4890  1 Mn 2.52, 1 Li 2.60, 2 In 2.71

Calculated values
SG	I-42m
uncorrected formation energy	-0.6170	eV per atom

***

Entry 3:
Computed, not measured: crystalline Ac2TmCd at its relaxed geometry at the PBE level of DFT.

Lattice parameters (Å, degrees): 3.9948 3.9948 9.0168 90.00 90.00 90.00
Closest atoms and distances in Å follow each position.
Fractional positions:
1 Ac 0.0000 0.0000 0.2319  4 Cd 3.51, 4 Tm 3.72
2 Ac 0.0000 0.0000 0.7681  4 Cd 3.51, 4 Tm 3.72
3 Tm 0.5000 0.5000 0.5000  8 Ac 3.72, 4 Tm 3.99
4 Cd 0.5000 0.5000 0.0000  8 Ac 3.51

Calculated values
energy of formation from the pure elements	-0.09	eV/atom
SG	P4/mmm
polymorph energy (0 for the lowest one)	0	meV per atom

***

Entry 4:
Computed, not measured: crystalline Rb3O at its relaxed geometry at the PBE level of DFT.

Lattice parameters (Å, degrees): 5.0009 5.0128 8.0847 90.00 90.00 90.00
Closest atoms and distances in Å follow each position.
Fractional positions:
1 Rb 0.0000 0.0000 0.0000  4 Rb 4.20-4.21, 4 O 4.21
2 Rb 0.0000 0.5000 0.4184  2 O 2.73
3 Rb 0.5000 0.0000 0.4167  2 O 2.73
4 O 0.5000 0.5000 0.2816  4 Rb 2.73

Calculated values
SG	Pmm2
uncorrected formation energy	-0.4285	eV per atom

***

Entry 5:
Computed, not measured: crystalline Er4Fe3C5 at its relaxed geometry at the PBE level of DFT.

Lattice parameters (Å, degrees): 5.8558 5.8558 9.4388 113.68 113.68 36.84
Closest atoms and distances in Å follow each position.
Fractional positions:
1 Er 0.1052 0.1052 0.3972  3 C 2.35-2.60
2 Er 0.2549 0.2549 0.8310  5 C 2.50-2.65
3 Er 0.7451 0.7451 0.1690  5 C 2.50-2.65
4 Er 0.8948 0.8948 0.6028  3 C 2.35-2.60
5 Fe 0.0000 0.0000 0.0000  2 C 1.85
6 Fe 0.4561 0.4561 0.1660  2 C 1.81-1.83
7 Fe 0.5439 0.5439 0.8340  2 C 1.81-1.83
8 C 0.3141 0.3141 0.3900  1 C 1.36
9 C 0.3975 0.3975 0.3176  1 C 1.36
10 C 0.5000 0.5000 0.0000  4 Fe 1.83-1.85
11 C 0.6025 0.6025 0.6824  1 C 1.36
12 C 0.6859 0.6859 0.6100  1 C 1.36

Calculated values
energy of formation from the pure elements	-0.24	eV/atom
SG	C2/m

***

Entry 6:
Computed, not measured: crystalline SrHg2Cl at its relaxed geometry at the PBE level of DFT.

Lattice parameters (Å, degrees): 5.4617 5.4617 5.4617 60.00 60.00 60.00
Closest atoms and distances in Å follow each position.
Fractional positions:
1 Sr 0.0000 0.0000 0.0000  4 Hg 3.34, 4 Cl 3.34
2 Hg 0.2500 0.2500 0.2500  4 Hg 3.34, 4 Sr 3.34
3 Hg 0.5000 0.5000 0.5000  4 Hg 3.34, 4 Cl 3.34
4 Cl 0.7500 0.7500 0.7500  4 Hg 3.34, 4 Sr 3.34

Calculated values
SG	F-43m
polymorph energy (0 for the lowest one)	141	meV per atom
uncorrected formation energy	-0.7932	eV per atom

***

Entry 7:
Computed, not measured: crystalline Ag2HPd at its relaxed geometry at the PBE level of DFT.

Lattice parameters (Å, degrees): 5.2835 5.2835 5.2835 106.46 106.46 115.67
Closest atoms and distances in Å follow each position.
Fractional positions:
1 Ag 0.0214 0.1250 0.3964  2 H 1.96
2 Ag 0.3750 0.9786 0.1036  2 H 1.96
3 Ag 0.7286 0.6250 0.6036  2 H 1.96
4 Ag 0.8750 0.2714 0.8964  2 H 1.96
5 H 0.0000 0.0000 0.0000  4 Ag 1.96
6 H 0.7500 0.2500 0.5000  4 Ag 1.96
7 Pd 0.2500 0.7500 0.5000  8 Ag 2.79-2.83, 2 H 2.81
8 Pd 0.5000 0.5000 0.0000  8 Ag 2.79-2.83, 2 H 2.81

Calculated values
SG	I-42d
polymorph energy (0 for the lowest one)	285	meV per atom

***

Entry 8:
Computed, not measured: crystalline Pr4NdDy3 at its relaxed geometry at the PBE level of DFT.

Lattice parameters (Å, degrees): 10.3342 7.2816 7.2743 90.00 90.00 90.00
Closest atoms and distances in Å follow each position.
Fractional positions:
1 Pr 0.0000 0.0000 0.0000  6 Dy 3.64, 4 Pr 3.64, 2 Nd 3.64
2 Pr 0.0000 0.5000 0.5000  2 Nd 3.64, 6 Dy 3.64-3.65, 4 Pr 3.65
3 Pr 0.2500 0.2484 0.2500  6 Dy 3.61-3.67, 4 Pr 3.64-3.65, 2 Nd 3.65
4 Pr 0.2500 0.7516 0.7500  6 Dy 3.61-3.67, 4 Pr 3.64-3.65, 2 Nd 3.65
5 Pr 0.5000 0.0000 0.5000  6 Dy 3.64, 4 Pr 3.64, 2 Nd 3.64
6 Pr 0.5000 0.5000 0.0000  2 Nd 3.64, 6 Dy 3.64-3.65, 4 Pr 3.65
7 Pr 0.7500 0.2484 0.2500  6 Dy 3.61-3.67, 4 Pr 3.64-3.65, 2 Nd 3.65
8 Pr 0.7500 0.7516 0.7500  6 Dy 3.61-3.67, 4 Pr 3.64-3.65, 2 Nd 3.65
9 Nd 0.0000 0.5000 0.0000  8 Pr 3.64-3.65, 4 Dy 3.65
10 Nd 0.5000 0.5000 0.5000  8 Pr 3.64-3.65, 4 Dy 3.65
11 Dy 0.0000 0.0000 0.5000  8 Pr 3.64, 4 Dy 3.64
12 Dy 0.2500 0.2476 0.7500  8 Pr 3.61-3.67, 2 Dy 3.64, 2 Nd 3.65
13 Dy 0.2500 0.7524 0.2500  8 Pr 3.61-3.67, 2 Dy 3.64, 2 Nd 3.65
14 Dy 0.5000 0.0000 0.0000  8 Pr 3.64, 4 Dy 3.64
15 Dy 0.7500 0.2476 0.7500  8 Pr 3.61-3.67, 2 Dy 3.64, 2 Nd 3.65
16 Dy 0.7500 0.7524 0.2500  8 Pr 3.61-3.67, 2 Dy 3.64, 2 Nd 3.65

Calculated values
energy of formation from the pure elements	0.02	eV/atom
SG	Pmna
polymorph energy (0 for the lowest one)	0	meV per atom

***

Entry 9:
Computed, not measured: crystalline ZrSc2Br at its relaxed geometry at the PBE level of DFT.

Lattice parameters (Å, degrees): 3.3510 5.1065 5.5830 90.00 106.85 90.00
Closest atoms and distances in Å follow each position.
Fractional positions:
1 Zr 0.0000 0.0000 0.0000  3 Sc 2.76-3.09, 2 Br 3.04
2 Sc 0.4254 0.5000 0.8545  3 Br 2.92-2.95, 4 Zr 3.14-3.16
3 Sc 0.7289 0.0000 0.4837  3 Zr 2.76-3.09
4 Br 0.1480 0.5000 0.3085  7 Sc 2.92-3.20, 2 Zr 3.04

Calculated values
SG	Pm
polymorph energy (0 for the lowest one)	294	meV per atom
uncorrected formation energy	-0.1659	eV per atom

***

Entry 10:
Computed, not measured: crystalline TbPuZnCd at its relaxed geometry at the PBE level of DFT.

Lattice parameters (Å, degrees): 5.2074 5.2074 5.2074 60.00 60.00 60.00
Closest atoms and distances in Å follow each position.
Fractional positions:
1 Tb 0.0000 0.0000 0.0000  4 Zn 3.19, 4 Cd 3.19
2 Pu 0.5000 0.5000 0.5000  4 Cd 3.19, 4 Zn 3.19
3 Zn 0.7500 0.7500 0.7500  4 Pu 3.19, 4 Tb 3.19
4 Cd 0.2500 0.2500 0.2500  4 Pu 3.19, 4 Tb 3.19

Calculated values
energy of formation from the pure elements	-0.12	eV/atom
SG	F-43m

***

Entry 11:
Computed, not measured: crystalline Tb2Ho2Sb5 at its relaxed geometry at the PBE level of DFT.

Lattice parameters (Å, degrees): 8.8052 8.8052 8.2150 90.00 90.00 53.94
Closest atoms and distances in Å follow each position.
Fractional positions:
1 Tb 0.1911 0.1911 0.0000  7 Sb 3.00-3.23
2 Tb 0.3089 0.3089 0.5000  7 Sb 3.00-3.23
3 Tb 0.6911 0.6911 0.5000  7 Sb 3.00-3.23
4 Tb 0.8089 0.8089 0.0000  7 Sb 3.00-3.23
5 Ho 0.1562 0.8438 0.6607  8 Sb 3.05-3.35
6 Ho 0.3438 0.6562 0.1607  8 Sb 3.05-3.35
7 Ho 0.6562 0.3438 0.8393  8 Sb 3.05-3.35
8 Ho 0.8438 0.1562 0.3393  8 Sb 3.05-3.35
9 Sb 0.0000 0.0000 0.0000  2 Tb 3.00, 4 Ho 3.05
10 Sb 0.0072 0.7133 0.3533  3 Ho 3.13-3.35, 3 Tb 3.14-3.23, 1 Sb 3.36
11 Sb 0.2133 0.5072 0.8533  3 Ho 3.13-3.35, 3 Tb 3.14-3.23, 1 Sb 3.36
12 Sb 0.2867 0.9928 0.3533  3 Ho 3.13-3.35, 3 Tb 3.14-3.23, 1 Sb 3.36
13 Sb 0.4928 0.7867 0.8533  3 Ho 3.13-3.35, 3 Tb 3.14-3.23, 1 Sb 3.36
14 Sb 0.5000 0.5000 0.5000  2 Tb 3.00, 4 Ho 3.05
15 Sb 0.5072 0.2133 0.1467  3 Ho 3.13-3.35, 3 Tb 3.14-3.23, 1 Sb 3.36
16 Sb 0.7133 0.0072 0.6467  3 Ho 3.13-3.35, 3 Tb 3.14-3.23, 1 Sb 3.36
17 Sb 0.7867 0.4928 0.1467  3 Ho 3.13-3.35, 3 Tb 3.14-3.23, 1 Sb 3.36
18 Sb 0.9928 0.2867 0.6467  3 Ho 3.13-3.35, 3 Tb 3.14-3.23, 1 Sb 3.36

Calculated values
SG	Cmce
uncorrected formation energy	-0.8477	eV per atom

***

Entry 12:
Computed, not measured: crystalline CaZnHg2 at its relaxed geometry at the PBE level of DFT.

Lattice parameters (Å, degrees): 3.5237 4.9506 5.6369 90.00 90.23 90.00
Closest atoms and distances in Å follow each position.
Fractional positions:
1 Ca 0.0000 0.0000 0.0000  8 Hg 3.24-3.42, 4 Zn 3.39, 2 Ca 3.52
2 Zn 0.4966 0.5000 0.7329  4 Hg 2.76-2.88
3 Hg 0.4986 0.0000 0.5178  2 Zn 2.76, 2 Hg 2.98
4 Hg 0.5025 0.5000 0.2226  2 Zn 2.76-2.88, 2 Hg 2.98

Calculated values
energy of formation from the pure elements	-0.25	eV/atom
SG	Pm

***

The records above yield total DFT energy (no corrections) values of -2.91; -4.43; -3.49; -2.39; -7.72; -1.83; -3.32; -4.70; -5.89; -5.41; -5.18; -1.22 eV per atom, respectively.